A geometry-optimized Sr2AgW structure, computed with GGA-PBEsol.

Symmetry: Pmm2
Total magnetic moment (μB/cell): 0.00
Relative energy among the computed polymorphs (meV per atom): 89.9

Geometry as POSCAR:
```
Sr2AgW
1.0
3.0636 0.0000 0.0000
0.0000 5.4408 0.0000
0.0000 0.0000 5.8726
Ag Sr W
1 2 1
Direct
0.5000 0.5000 0.2224 Ag
0.0000 0.0000 0.0598 Sr
0.0000 0.5000 0.6814 Sr
0.5000 0.0000 0.5364 W
```

A geometry-optimized SrAg2W structure, computed with GGA-PBEsol.

Symmetry: Pmm2
Total magnetic moment (μB/cell): 0.00
Relative energy among the computed polymorphs (meV per atom): 123.7

Geometry as POSCAR:
```
SrAg2W
1.0
2.8609 0.0000 0.0000
0.0000 4.1333 0.0000
0.0000 0.0000 6.9028
Ag Sr W
2 1 1
Direct
0.0000 0.0000 0.9880 Ag
0.5000 0.5000 0.2059 Ag
0.0000 0.0000 0.4953 Sr
0.5000 0.5000 0.8108 W
```

A geometry-optimized SrAgW2 structure, computed with GGA-PBEsol.

Symmetry: Pm
Total magnetic moment (μB/cell): 0.00
DFT total energy (eV/atom): -7.566

Geometry as POSCAR:
```
SrAgW2
1.0
-0.0802 0.1610 3.2410
1.1027 -3.1119 0.1819
7.2372 2.7753 0.0412
Ag Sr W
1 1 2
Direct
0.0000 0.9966 0.4532 Ag
0.5000 0.5130 0.7542 Sr
0.0000 0.0141 0.0691 W
0.5000 0.4762 0.2235 W
```

A geometry-optimized SrAg2W structure, computed with GGA-PBEsol.

Symmetry: R-3m
Total magnetic moment (μB/cell): 0.00
Relative energy among the computed polymorphs (meV per atom): 165.8

Geometry as POSCAR:
```
SrAg2W
1.0
2.9387 0.0000 0.0000
1.4693 2.5450 0.0000
1.4693 0.8483 10.2001
Ag Sr W
2 1 1
Direct
0.2578 0.2578 0.2266 Ag
0.7422 0.7422 0.7734 Ag
0.5000 0.5000 0.5000 Sr
0.0000 0.0000 0.0000 W
```

A geometry-optimized SrY2Ag structure, computed with GGA-PBEsol.

Symmetry: P4mm
Total magnetic moment (μB/cell): 0.01
Relative energy among the computed polymorphs (meV per atom): 0.0

Geometry as POSCAR:
```
SrY2Ag
1.0
3.6647 0.0000 0.0000
0.0000 3.6647 0.0000
0.0000 0.0000 9.0327
Y Sr Ag
2 1 1
Direct
0.0000 0.0000 0.0353 Y
0.5000 0.5000 0.2925 Y
0.5000 0.5000 0.7042 Sr
0.0000 0.0000 0.4679 Ag
```

A geometry-optimized SrY2Ag structure, computed with GGA-PBEsol.

Symmetry: P4/mmm
Total magnetic moment (μB/cell): 0.00
Relative energy among the computed polymorphs (meV per atom): 214.4

Geometry as POSCAR:
```
SrY2Ag
1.0
4.6710 0.0000 0.0000
0.0000 4.6710 0.0000
0.0000 0.0000 5.3390
Ag Sr Y
1 1 2
Direct
0.5000 0.5000 0.5000 Ag
0.0000 0.0000 0.5000 Sr
0.0000 0.5000 0.0000 Y
0.5000 0.0000 0.0000 Y
```

A geometry-optimized SrYAg structure, computed with GGA-PBEsol.

Symmetry: I4mm
Total magnetic moment (μB/cell): 0.00
DFT total energy (eV/atom): -4.112

Geometry as POSCAR:
```
SrYAg
1.0
-0.9574 3.5707 0.1085
-0.3116 -0.1954 3.6801
7.0382 0.0101 -1.2620
Y Sr Ag
1 1 1
Direct
0.3720 0.3720 0.7439 Y
0.6450 0.6450 0.2900 Sr
0.9831 0.9831 0.9661 Ag
```

A geometry-optimized SrY2Ag structure, computed with GGA-PBEsol.

Symmetry: R-3m
Total magnetic moment (μB/cell): 0.00
Relative energy among the computed polymorphs (meV per atom): 175.2

Geometry as POSCAR:
```
SrY2Ag
1.0
3.7469 0.0000 0.0000
1.8734 3.2449 0.0000
1.8734 1.0816 10.5866
Ag Sr Y
1 1 2
Direct
0.5000 0.5000 0.5000 Ag
0.0000 0.0000 0.0000 Sr
0.2309 0.2309 0.3073 Y
0.7691 0.7691 0.6927 Y
```

A geometry-optimized SrZn2Ag2 structure, computed with GGA-PBEsol.

Symmetry: I4/mmm
Total magnetic moment (μB/cell): 0.00
DFT total energy (eV/atom): -2.495

Geometry as POSCAR:
```
SrZn2Ag2
1.0
4.4300 0.0000 0.0000
0.0000 4.4300 0.0000
-2.2150 -2.2150 5.4057
Sr Zn Ag
1 2 2
Direct
0.0000 0.0000 0.0000 Sr
0.2500 0.7500 0.5000 Zn
0.7500 0.2500 0.5000 Zn
0.3755 0.3755 0.7511 Ag
0.6245 0.6245 0.2489 Ag
```

A geometry-optimized SrZnAg4 structure, computed with GGA-PBEsol.

Symmetry: F-43m
Total magnetic moment (μB/cell): 0.00
DFT total energy (eV/atom): -2.872

Geometry as POSCAR:
```
SrZnAg4
1.0
-1.9225 0.7294 5.1352
-4.2728 -3.0124 1.8076
0.7963 -3.9085 3.8325
Sr Zn Ag
1 1 4
Direct
0.7500 0.7500 0.7500 Sr
0.0000 0.0000 0.0000 Zn
0.3743 0.3743 0.3743 Ag
0.3743 0.3743 0.8771 Ag
0.8771 0.3743 0.3743 Ag
0.3743 0.8771 0.3743 Ag
```

A geometry-optimized SrZnAg2 structure, computed with GGA-PBEsol.

Symmetry: P4/mmm
Total magnetic moment (μB/cell): 0.00
DFT total energy (eV/atom): -2.577

Geometry as POSCAR:
```
SrZnAg2
1.0
-2.9111 -1.7572 0.6337
1.6895 -1.9764 2.2811
-1.6182 4.5277 5.1215
Ag Sr Zn
2 1 1
Direct
0.0000 0.0000 0.6927 Ag
0.0000 0.0000 0.3073 Ag
0.5000 0.5000 0.0000 Sr
0.5000 0.5000 0.5000 Zn
```

A geometry-optimized Sr2ZnAg structure, computed with GGA-PBEsol.

Symmetry: Imm2
Total magnetic moment (μB/cell): 0.00
DFT total energy (eV/atom): -2.257

Geometry as POSCAR:
```
Sr2ZnAg
1.0
3.8718 0.0000 0.0000
0.0000 5.2695 0.0000
-1.9359 -2.6348 5.5010
Ag Sr Zn
1 2 1
Direct
0.7945 0.2945 0.5890 Ag
0.0214 0.0214 0.0429 Sr
0.2271 0.7271 0.4542 Sr
0.4570 0.4570 0.9140 Zn
```

A geometry-optimized Sr2ZnAg structure, computed with GGA-PBEsol.

Symmetry: Amm2
Total magnetic moment (μB/cell): 0.00
DFT total energy (eV/atom): -2.371

Geometry as POSCAR:
```
Sr2ZnAg
1.0
4.4744 0.0000 0.0000
0.0000 4.5884 0.0000
-2.2372 0.0000 5.8578
Sr Zn Ag
2 1 1
Direct
0.9829 0.5000 0.9659 Sr
0.2677 0.0000 0.5354 Sr
0.5633 0.0000 0.1266 Zn
0.6861 0.5000 0.3721 Ag
```

A geometry-optimized Sr2ZnAg structure, computed with GGA-PBEsol.

Symmetry: P4/mmm
Total magnetic moment (μB/cell): 0.00
DFT total energy (eV/atom): -2.321

Geometry as POSCAR:
```
Sr2ZnAg
1.0
3.8471 0.0000 0.0000
0.0000 3.8471 0.0000
0.0000 0.0000 7.5993
Sr Zn Ag
2 1 1
Direct
0.0000 0.0000 0.2518 Sr
0.0000 0.0000 0.7482 Sr
0.5000 0.5000 0.5000 Zn
0.5000 0.5000 0.0000 Ag
```

A geometry-optimized SrZnAg2 structure, computed with GGA-PBEsol.

Symmetry: R3m
Total magnetic moment (μB/cell): 0.00
DFT total energy (eV/atom): -2.690

Geometry as POSCAR:
```
SrZnAg2
1.0
-1.8965 -3.7210 -1.7609
4.4979 0.2178 0.5287
-2.8312 -0.9433 5.0427
Sr Zn Ag
1 1 2
Direct
0.5045 0.0089 0.5134 Sr
0.3044 0.6088 0.9133 Zn
0.9856 0.9713 0.9568 Ag
0.7055 0.4110 0.1164 Ag
```

A geometry-optimized SrZnAg structure, computed with GGA-PBEsol.

Symmetry: P-6m2
Total magnetic moment (μB/cell): 0.00
DFT total energy (eV/atom): -2.486

Geometry as POSCAR:
```
SrZnAg
1.0
-0.9475 3.9490 1.1090
-3.6153 -1.5069 2.2771
4.0013 0.3725 2.0922
Sr Zn Ag
1 1 1
Direct
0.0000 0.3333 0.6667 Sr
0.5000 0.6667 0.3333 Zn
0.5000 0.0000 0.0000 Ag
```

A geometry-optimized SrZr2Ag structure, computed with GGA-PBEsol.

Symmetry: Pmmm
Total magnetic moment (μB/cell): 0.02
Relative energy among the computed polymorphs (meV per atom): 61.5

Geometry as POSCAR:
```
SrZr2Ag
1.0
3.1912 0.0000 0.0000
0.0000 4.0103 0.0000
0.0000 0.0000 8.0402
Ag Sr Zr
1 1 2
Direct
0.5000 0.5000 0.0000 Ag
0.5000 0.5000 0.5000 Sr
0.0000 0.0000 0.8276 Zr
0.0000 0.0000 0.1724 Zr
```

A geometry-optimized SrZr2Ag structure, computed with GGA-PBEsol.

Symmetry: Pmmm
Total magnetic moment (μB/cell): 0.00
Relative energy among the computed polymorphs (meV per atom): 0.0

Geometry as POSCAR:
```
SrZr2Ag
1.0
-1.0543 -2.1928 2.1416
4.8437 -1.6045 0.7417
0.6166 3.8008 4.1954
Ag Sr Zr
1 1 2
Direct
0.5000 0.0000 0.5000 Ag
0.0000 0.5000 0.5000 Sr
0.0000 0.0000 0.0000 Zr
0.5000 0.5000 0.0000 Zr
```

A geometry-optimized Sr2ZrAg structure, computed with GGA-PBEsol.

Symmetry: Amm2
Total magnetic moment (μB/cell): 0.00
DFT total energy (eV/atom): -3.690

Geometry as POSCAR:
```
Sr2ZrAg
1.0
3.8936 0.0000 0.0000
0.0000 4.9451 0.0000
-1.9468 0.0000 6.4347
Ag Sr Zr
1 2 1
Direct
0.5740 0.5000 0.1479 Ag
0.9694 0.0000 0.9388 Sr
0.2872 0.5000 0.5743 Sr
0.6809 0.0000 0.3618 Zr
```

A geometry-optimized Ta2Ag structure, computed with GGA-PBEsol.

Symmetry: I4_1/amd
Total magnetic moment (μB/cell): 0.00
DFT total energy (eV/atom): -9.058

Geometry as POSCAR:
```
Ta2Ag
1.0
-0.6153 0.1945 2.7525
-2.0326 -1.9392 -0.3174
10.1516 -8.8156 1.4404
Ag Ta
2 4
Direct
0.0000 0.0000 0.0000 Ag
0.2500 0.7500 0.5000 Ag
0.6693 0.1693 0.3386 Ta
0.8307 0.3307 0.6614 Ta
0.4193 0.4193 0.8386 Ta
0.5807 0.5807 0.1614 Ta
```

| no. | density of states at the Fermi level (states/eV/f.u.) |
| --- | --- |
| 1 | 3.867 |
| 2 | 3.075 |
| 3 | 4.072 |
| 4 | 3.466 |
| 5 | 5.990 |
| 6 | 4.509 |
| 7 | 2.208 |
| 8 | 5.507 |
| 9 | 2.481 |
| 10 | 3.930 |
| 11 | 1.283 |
| 12 | 2.991 |
| 13 | 2.358 |
| 14 | 3.373 |
| 15 | 1.672 |
| 16 | 1.651 |
| 17 | 7.105 |
| 18 | 4.410 |
| 19 | 4.434 |
| 20 | 1.720 |